# 1
CaSm2Cu2Si2: relaxed, GGA-PBE.

It has space group R-3m (No. 166, hexagonal axes), with a = 4.2587 Å, b = 4.2587 Å, c = 29.4381 Å, α = 90.00°, β = 90.00° and γ = 120.00°. The distinct sites, in fractional coordinates, are Ca at (0.0000, 0.0000, 0.0000), Sm at (0.0000, 0.0000, 0.1241), Cu at (0.0000, 0.0000, 0.3998) and Si at (0.0000, 0.0000, 0.2630).

The value obtained for the uncorrected formation energy is -0.43 eV per atom. The raw total energy is -4.78 eV/atom.

---

# 2
CaCuSi2Sn: relaxed, GGA-PBE.

It has space group P4/mmm (No. 123), with a = 5.307 Å, b = 5.307 Å, c = 4.988 Å, α = 90.00°, β = 90.00° and γ = 90.00°. The distinct sites, in fractional coordinates, are Ca at (0.000, 0.000, 0.000), Cu at (0.000, 0.000, 0.500), Si at (0.000, 0.500, 0.000) and Sn at (0.500, 0.500, 0.500).

The value obtained for the uncorrected formation energy is 1.23 eV per atom. The raw total energy is -2.96 eV/atom.

---

# 3
CaTb2Cu2Si2: relaxed, GGA-PBE.

It has space group R-3m (No. 166, hexagonal axes), with a = 4.2643 Å, b = 4.2643 Å, c = 28.2003 Å, α = 90.00°, β = 90.00° and γ = 120.00°. The distinct sites, in fractional coordinates, are Ca at (0.0000, 0.0000, 0.0000), Tb at (0.0000, 0.0000, 0.1265), Cu at (0.0000, 0.0000, 0.4037) and Si at (0.0000, 0.0000, 0.2590).

The value obtained for the uncorrected formation energy is -0.44 eV per atom. The raw total energy is -4.77 eV/atom.

---

# 4
CaTbCuSi: relaxed, GGA-PBE.

It has space group F-43m (No. 216), with a = 7.048 Å, b = 7.048 Å, c = 7.048 Å, α = 90.00°, β = 90.00° and γ = 90.00°. The distinct sites, in fractional coordinates, are Ca at (0.000, 0.000, 0.000), Tb at (0.000, 0.000, 0.500), Cu at (0.250, 0.250, 0.250) and Si at (0.250, 0.250, 0.750).

The value obtained for the uncorrected formation energy is -0.36 eV per atom. The raw total energy is -4.40 eV/atom.

---

# 5
CaThCu2Si2: relaxed, GGA-PBE.

It has space group P-3m1 (No. 164), with a = 4.1975 Å, b = 4.1975 Å, c = 7.9195 Å, α = 90.00°, β = 90.00° and γ = 120.00°. The distinct sites, in fractional coordinates, are Ca at (0.0000, 0.0000, 0.0000), Th at (0.0000, 0.0000, 0.5000), Cu at (0.3333, 0.6667, 0.7508) and Si at (0.3333, 0.6667, 0.2605).

The value obtained for the uncorrected formation energy is -0.56 eV per atom. The raw total energy is -5.30 eV/atom.

---

# 6
CaTiCuSi2: relaxed, GGA-PBE.

It has space group P4/mmm (No. 123), with a = 5.013 Å, b = 5.013 Å, c = 4.603 Å, α = 90.00°, β = 90.00° and γ = 90.00°. The distinct sites, in fractional coordinates, are Ca at (0.000, 0.000, 0.000), Ti at (0.500, 0.500, 0.500), Cu at (0.000, 0.000, 0.500) and Si at (0.000, 0.500, 0.000).

The value obtained for the uncorrected formation energy is 1.47 eV per atom. The raw total energy is -3.50 eV/atom.

---

# 7
CaTmCuSi: relaxed, GGA-PBE.

It has space group F-43m (No. 216), with a = 6.975 Å, b = 6.975 Å, c = 6.975 Å, α = 90.00°, β = 90.00° and γ = 90.00°. The distinct sites, in fractional coordinates, are Ca at (0.000, 0.000, 0.000), Tm at (0.000, 0.000, 0.500), Cu at (0.250, 0.250, 0.750) and Si at (0.250, 0.250, 0.250).

The value obtained for the uncorrected formation energy is -0.35 eV per atom. The raw total energy is -4.35 eV/atom.

---

# 8
CaVCu2Si: relaxed, GGA-PBE.

It has space group P4/mmm (No. 123), with a = 4.467 Å, b = 4.467 Å, c = 5.338 Å, α = 90.00°, β = 90.00° and γ = 90.00°. The distinct sites, in fractional coordinates, are Ca at (0.000, 0.000, 0.000), V at (0.500, 0.500, 0.000), Cu at (0.000, 0.500, 0.500) and Si at (0.000, 0.000, 0.500).

The value obtained for the uncorrected formation energy is 0.72 eV per atom. The raw total energy is -4.23 eV/atom.

---

# 9
Ca2VCuSi: relaxed, GGA-PBE.

It has space group P4/mmm (No. 123), with a = 5.261 Å, b = 5.261 Å, c = 4.692 Å, α = 90.00°, β = 90.00° and γ = 90.00°. The distinct sites, in fractional coordinates, are Ca at (0.000, 0.500, 0.000), V at (0.000, 0.000, 0.500), Cu at (0.000, 0.000, 0.000) and Si at (0.500, 0.500, 0.500).

The value obtained for the uncorrected formation energy is 0.56 eV per atom. The raw total energy is -3.97 eV/atom.

---

# 10
CaYCu2Si2: relaxed, GGA-PBE.

It has space group P-3m1 (No. 164), with a = 4.0961 Å, b = 4.0961 Å, c = 8.0593 Å, α = 90.00°, β = 90.00° and γ = 120.00°. The distinct sites, in fractional coordinates, are Ca at (0.0000, 0.0000, 0.0000), Y at (0.0000, 0.0000, 0.5000), Cu at (0.3333, 0.6667, 0.7426) and Si at (0.3333, 0.6667, 0.2621).

The value obtained for the uncorrected formation energy is -0.55 eV per atom. The raw total energy is -5.13 eV/atom.

---

# 11
Ca2ZnCu3Si4: relaxed, GGA-PBE.

It has space group P-4m2 (No. 115), with a = 4.035 Å, b = 4.035 Å, c = 10.273 Å, α = 90.00°, β = 90.00° and γ = 90.00°. The distinct sites, in fractional coordinates, are Ca at (0.000, 0.500, 0.249), Zn at (0.000, 0.000, 0.500), Cu at (0.000, 0.500, 0.869), Cu at (0.500, 0.500, 0.500), Si at (0.000, 0.000, 0.000), Si at (0.000, 0.500, 0.639) and Si at (0.500, 0.500, 0.000).

The value obtained for the uncorrected formation energy is -0.34 eV per atom. The raw total energy is -4.27 eV/atom.

---

# 12
CaZnCu4Si2: relaxed, GGA-PBE.

It has space group R-3m (No. 166, hexagonal axes), with a = 4.0529 Å, b = 4.0529 Å, c = 26.7531 Å, α = 90.00°, β = 90.00° and γ = 120.00°. The distinct sites, in fractional coordinates, are Ca at (0.0000, 0.0000, 0.0000), Zn at (0.0000, 0.0000, 0.5000), Cu at (0.0000, 0.0000, 0.1191), Cu at (0.0000, 0.0000, 0.4096) and Si at (0.0000, 0.0000, 0.2490).

The value obtained for the uncorrected formation energy is -0.13 eV per atom. The raw total energy is -3.94 eV/atom.

---

# 13
Ca2Zn3Cu12Si: relaxed, GGA-PBE.

It has space group R-3m (No. 166, hexagonal axes), with a = 6.2760 Å, b = 6.2760 Å, c = 25.9934 Å, α = 90.00°, β = 90.00° and γ = 120.00°. The distinct sites, in fractional coordinates, are Ca at (0.0000, 0.0000, 0.1516), Zn at (0.0000, 0.5000, 0.0000), Cu at (0.0576, 0.5288, 0.0959), Cu at (0.0758, 0.5379, 0.6173) and Si at (0.0000, 0.0000, 0.5000).

The value obtained for the uncorrected formation energy is 0.10 eV per atom. The raw total energy is -3.37 eV/atom.

---

# 14
CaZnCu6Si: relaxed, GGA-PBE.

It has space group Imma (No. 74), with a = 5.198 Å, b = 7.772 Å, c = 13.845 Å, α = 90.00°, β = 90.00° and γ = 90.00°. The distinct sites, in fractional coordinates, are Ca at (0.000, 0.250, 0.005), Zn at (0.000, 0.000, 0.500), Cu at (0.000, 0.250, 0.391), Cu at (0.000, 0.250, 0.755), Cu at (0.248, 0.021, 0.842) and Si at (0.250, 0.250, 0.250).

The value obtained for the uncorrected formation energy is -0.01 eV per atom. The raw total energy is -3.71 eV/atom.

---

# 15
CaSmCu: relaxed, GGA-PBE.

It has space group F-43m (No. 216), with a = 7.019 Å, b = 7.019 Å, c = 7.019 Å, α = 90.00°, β = 90.00° and γ = 90.00°. The distinct sites, in fractional coordinates, are Ca at (0.000, 0.000, 0.000), Sm at (0.000, 0.000, 0.500) and Cu at (0.250, 0.250, 0.250).

As for the distance to the lowest polymorph of the same formula: 0.1439 eV/atom. As for the formation energy: 88 meV per atom. The raw total energy is -3.52 eV/atom.

---

# 16
CaSmCu3: relaxed, GGA-PBE.

It has space group Cmcm (No. 63), with a = 3.853 Å, b = 25.615 Å, c = 4.298 Å, α = 90.00°, β = 90.00° and γ = 90.00°. The distinct sites, in fractional coordinates, are Ca at (0.000, 0.203, 0.250), Sm at (0.000, 0.070, 0.750), Cu at (0.000, 0.334, 0.250), Cu at (0.000, 0.383, 0.750) and Cu at (0.000, 0.478, 0.750).

As for the formation energy: -182 meV per atom. The raw total energy is -3.98 eV/atom.

---

# 17
CaSm4Cu5: relaxed, GGA-PBE.

It has space group P4/mmm (No. 123), with a = 3.538 Å, b = 3.538 Å, c = 17.895 Å, α = 90.00°, β = 90.00° and γ = 90.00°. The distinct sites, in fractional coordinates, are Ca at (0.000, 0.000, 0.000), Sm at (0.000, 0.000, 0.200), Sm at (0.000, 0.000, 0.401), Cu at (0.500, 0.500, 0.108), Cu at (0.500, 0.500, 0.300) and Cu at (0.500, 0.500, 0.500).

As for the formation energy: -161 meV per atom. The raw total energy is -4.30 eV/atom.

---

# 18
CaSm5Cu6: relaxed, GGA-PBE.

It has space group Cmmm (No. 65), with a = 5.023 Å, b = 15.082 Å, c = 7.075 Å, α = 90.00°, β = 90.00° and γ = 90.00°. The distinct sites, in fractional coordinates, are Ca at (0.000, 0.000, 0.000), Sm at (0.000, 0.000, 0.500), Sm at (0.000, 0.334, 0.500), Sm at (0.000, 0.336, 0.000), Cu at (0.000, 0.171, 0.253) and Cu at (0.000, 0.500, 0.263).

As for the formation energy: -166 meV per atom. The raw total energy is -4.35 eV/atom.

---

# 19
CaSmCu: relaxed, GGA-PBE.

It has space group I4mm (No. 107), with a = 3.589 Å, b = 3.589 Å, c = 12.917 Å, α = 90.00°, β = 90.00° and γ = 90.00°. The distinct sites, in fractional coordinates, are Ca at (0.000, 0.000, 0.000), Sm at (0.000, 0.000, 0.267) and Cu at (0.000, 0.000, 0.646).

As for the distance to the lowest polymorph of the same formula: 0.0000 eV/atom. As for the formation energy: -56 meV per atom. The raw total energy is -3.66 eV/atom.

---

# 20
Ca2SmCu: relaxed, GGA-PBE.

It has space group R-3m (No. 166, hexagonal axes), with a = 3.7020 Å, b = 3.7020 Å, c = 33.0798 Å, α = 90.00°, β = 90.00° and γ = 120.00°. The distinct sites, in fractional coordinates, are Ca at (0.0000, 0.0000, 0.1081), Sm at (0.0000, 0.0000, 0.0000) and Cu at (0.0000, 0.0000, 0.5000).

As for the distance to the lowest polymorph of the same formula: 0.1959 eV/atom. As for the formation energy: 238 meV per atom. The raw total energy is -2.97 eV/atom.

---

# 21
CaSmCu4: relaxed, GGA-PBE.

It has space group Immm (No. 71), with a = 4.210 Å, b = 7.399 Å, c = 7.545 Å, α = 90.00°, β = 90.00° and γ = 90.00°. The distinct sites, in fractional coordinates, are Ca at (0.000, 0.000, 0.000), Sm at (0.000, 0.000, 0.500) and Cu at (0.000, 0.334, 0.243).

As for the distance to the lowest polymorph of the same formula: 0.0000 eV/atom. As for the formation energy: -166 meV per atom. The raw total energy is -4.02 eV/atom.

---

# 22
Ca2SmCu: relaxed, GGA-PBE.

It has space group P4/mmm (No. 123), with a = 3.521 Å, b = 3.521 Å, c = 9.609 Å, α = 90.00°, β = 90.00° and γ = 90.00°. The distinct sites, in fractional coordinates, are Ca at (0.000, 0.000, 0.189), Sm at (0.500, 0.500, 0.500) and Cu at (0.500, 0.500, 0.000).

As for the distance to the lowest polymorph of the same formula: 0.0000 eV/atom. As for the formation energy: 43 meV per atom. The raw total energy is -3.16 eV/atom.

---

# 23
CaSm2Cu6: relaxed, GGA-PBE.

It has space group P6/mmm (No. 191), with a = 7.3624 Å, b = 7.3624 Å, c = 3.7401 Å, α = 90.00°, β = 90.00° and γ = 120.00°. The distinct sites, in fractional coordinates, are Ca at (0.0000, 0.0000, 0.0000), Sm at (0.3333, 0.6667, 0.0000) and Cu at (0.0000, 0.3339, 0.5000).

As for the formation energy: -189 meV per atom. The raw total energy is -4.19 eV/atom.

---

# 24
CaSmCu4: relaxed, GGA-PBE.

It has space group F-43m (No. 216), with a = 7.518 Å, b = 7.518 Å, c = 7.518 Å, α = 90.00°, β = 90.00° and γ = 90.00°. The distinct sites, in fractional coordinates, are Ca at (0.000, 0.000, 0.000), Sm at (0.250, 0.250, 0.750) and Cu at (0.126, 0.126, 0.374).

As for the distance to the lowest polymorph of the same formula: 0.0671 eV/atom. As for the formation energy: -99 meV per atom. The raw total energy is -3.95 eV/atom.

---

# 25
CaSm3Cu: relaxed, GGA-PBE.

It has space group Pm-3m (No. 221), with a = 5.569 Å, b = 5.569 Å, c = 5.569 Å, α = 90.00°, β = 90.00° and γ = 90.00°. The distinct sites, in fractional coordinates, are Ca at (0.000, 0.000, 0.000), Sm at (0.000, 0.500, 0.500) and Cu at (0.500, 0.500, 0.500).

As for the formation energy: 139 meV per atom. The raw total energy is -3.91 eV/atom.